CoRe2O: optimized geometry, PBE with a Hubbard U.

Total moment   0.0 Bohr magnetons per cell
Final energy   -7.86 eV/atom

Unit cell a=7.186 b=7.186 c=7.186 alpha=146.44 beta=146.44 gamma=48.19
Fractional positions:
Co (0.000, 0.000, 0.000)
Co (0.750, 0.250, 0.500)
Re (0.196, 0.625, 0.071)
Re (0.375, 0.446, 0.571)
Re (0.554, 0.125, 0.929)
Re (0.875, 0.804, 0.429)
O (0.250, 0.750, 0.500)
O (0.500, 0.500, 0.000)